The following is a DFT calculation (PBE-GGA) of an optimized crystal structure of Fe4Co9Ni11.

Properties
The calculation puts the density of states at the Fermi level at 1.00 states/eV/atom. The value obtained for the energy relative to the elements is 0.03 eV per atom.

The structure in CIF format:
```
data_Fe4Co9Ni11
_chemical_formula_sum 'Fe8 Co18 Ni22'
_symmetry_space_group_name_H-M 'C m m m'
_symmetry_Int_Tables_number 65
_symmetry_space_group_name_Hall '-C 2 2'
_cell_length_a 11.7550
_cell_length_b 18.5129
_cell_length_c 2.4710
_cell_angle_alpha 90.00
_cell_angle_beta 90.00
_cell_angle_gamma 90.00
loop_
_atom_site_label
_atom_site_type_symbol
_atom_site_fract_x
_atom_site_fract_y
_atom_site_fract_z
_atom_site_occupancy
Fe1 Fe 0.1761 0.0855 0.0000 1
Co1 Co 0.0000 0.0000 0.0000 1
Co2 Co 0.1055 0.4036 0.0000 1
Co3 Co 0.1078 0.2131 0.0000 1
Ni1 Ni 0.0000 0.1180 0.5000 1
Ni2 Ni 0.0000 0.3079 0.5000 1
Ni3 Ni 0.0000 0.5000 0.5000 1
Ni4 Ni 0.2037 0.5000 0.5000 1
Ni5 Ni 0.2135 0.3123 0.5000 1
```